A geometry-optimized YTaSb structure. Source: Alexandria via LeMat-Bulk, functional PBE.

Unit cell a=3.712 b=4.751 c=16.380 alpha=90.00 beta=90.00 gamma=90.00
Atoms (fractional coordinates):
Y (0.000, 0.000, 0.000)
Y (0.000, 0.500, 0.500)
Y (0.500, 0.000, 0.193)
Y (0.500, 0.500, 0.693)
Ta (0.000, 0.000, 0.357)
Ta (0.000, 0.500, 0.857)
Ta (0.500, 0.000, 0.481)
Ta (0.500, 0.500, 0.981)
Sb (0.000, 0.000, 0.628)
Sb (0.000, 0.500, 0.128)
Sb (0.500, 0.000, 0.841)
Sb (0.500, 0.500, 0.341)

Computed properties:
The value obtained for the density of states at the Fermi level is 0.999 states/eV/atom. The crystal system is orthorhombic. The uncorrected formation energy is -0.18 eV per atom.

A geometry-optimized YTa3Sb structure. Source: Alexandria via LeMat-Bulk, functional PBE.

Unit cell a=5.075 b=5.075 c=5.075 alpha=90.00 beta=90.00 gamma=90.00
Atoms (fractional coordinates):
Y (0.000, 0.000, 0.000)
Ta (0.000, 0.500, 0.500)
Ta (0.500, 0.000, 0.500)
Ta (0.500, 0.500, 0.000)
Sb (0.500, 0.500, 0.500)

Computed properties:
The value obtained for the density of states at the Fermi level is 1.380 states/eV/atom. The value obtained for the energy relative to the lowest polymorph listed for this composition is 0.0 kJ/mol of formula units. The crystal system is cubic. The uncorrected formation energy is 1.30 eV per atom.

A geometry-optimized YTaSb structure. Source: Alexandria via LeMat-Bulk, functional PBE.

Unit cell a=4.954 b=4.954 c=3.361 alpha=90.00 beta=90.00 gamma=120.00
Atoms (fractional coordinates):
Y (0.000, 0.000, 0.000)
Ta (0.333, 0.667, 0.500)
Sb (0.667, 0.333, 0.500)

Computed properties:
The value obtained for the density of states at the Fermi level is 1.560 states/eV/atom. The crystal system is hexagonal. The uncorrected formation energy is 0.08 eV per atom.